Record 1
Ca4HgMo | the Alexandria database | PBE | relaxed; calculated volume = 192.38 Å³ per cell; ΔE_f = 0.8355 eV per atom; total magnetic moment = 4.1 μB/f.u.; mass density = 3943 kg/m³
1.0
0.0000 4.5819 4.5819
4.5819 0.0000 4.5819
4.5819 4.5819 0.0000
Ca Hg Mo
4 1 1
direct
0.8757 0.3748 0.3748
0.3748 0.3748 0.8757
0.3748 0.8757 0.3748
0.3748 0.3748 0.3748
0.7500 0.7500 0.7500
0.0000 0.0000 0.0000

Record 2
AgAu2F6 | the Alexandria database | PBE | relaxed; calculated volume = 281.84 Å³ per cell; E_form (uncorrected) = -7.6 eV/f.u.; total magnetic moment = 0.7 μB/f.u.; mass density = 7256 kg/m³
1.0
-4.5215 -0.3196 0.3246
-0.7491 -4.0970 -6.7808
0.1748 -7.4521 2.7860
Ag Au F
2 4 12
direct
0.2500 0.2497 0.7503
0.7500 0.7503 0.2497
0.0008 0.6700 0.8299
0.4992 0.1701 0.3300
0.9992 0.3300 0.1701
0.5008 0.8299 0.6700
0.4399 0.6791 0.5048
0.0601 0.4952 0.3209
0.5601 0.3209 0.4952
0.9399 0.5048 0.6791
0.8289 0.9193 0.4186
0.6711 0.5814 0.0807
0.1711 0.0807 0.5814
0.3289 0.4186 0.9193
0.0615 0.8209 0.9950
0.4385 0.0050 0.1791
0.9385 0.1791 0.0050
0.5615 0.9950 0.8209

Record 3
K2PuGaSe4 | the Alexandria database | PBE | relaxed; calculated volume = 453.89 Å³ per cell; E_form (uncorrected) = -8.2 eV/f.u.; total magnetic moment = 4.8 μB/f.u.; mass density = 5179 kg/m³
1.0
8.6386 -0.0359 -0.1509
-0.0420 8.6385 -0.1509
-4.3067 -4.3097 6.2336
K Pu Ga Se
4 2 2 8
direct
0.5000 0.0000 0.0000
0.5000 0.0000 0.5000
0.0000 0.0000 0.5000
0.5000 0.5000 0.0000
0.0000 0.5000 0.0000
0.0000 0.5000 0.5000
0.5000 0.5000 0.5000
0.0000 0.0000 0.0000
0.2041 0.7396 0.9718
0.7604 0.2959 0.5282
0.2396 0.7041 0.4718
0.7959 0.2604 0.0282
0.7644 0.7357 0.9555
0.7643 0.7356 0.5445
0.2357 0.2644 0.4555
0.2356 0.2643 0.0445

Record 4
MoAs | the Alexandria database | PBE | relaxed; calculated volume = 71.81 Å³ per cell; ΔE_f = 0.2269 eV per atom; total magnetic moment = 0.0 μB/f.u.; mass density = 7902 kg/m³
1.0
-3.9677 2.4594 -1.8637
-4.2562 1.3002 2.3364
-1.6549 4.6031 1.1567
Mo As
2 2
direct
0.3163 0.3163 0.3163
0.6837 0.6837 0.6837
0.1082 0.1082 0.1082
0.8918 0.8918 0.8918

Record 5
Ba2Na2Sr2Rh | the Alexandria database | PBE | relaxed; calculated volume = 324.19 Å³ per cell; ΔE_f = -0.0937 eV per atom; total magnetic moment = 0.0 μB/f.u.; mass density = 3067 kg/m³
1.0
4.3216 0.0170 0.0030
0.0352 8.4233 -0.5034
2.1727 3.0195 8.7275
Ba Na Sr Rh
2 2 2 1
direct
0.1655 0.1061 0.6652
0.8345 0.8939 0.3348
0.1655 0.5855 0.6786
0.8345 0.4145 0.3214
0.4926 0.2436 0.0082
0.5074 0.7564 0.9918
0.0000 0.0000 0.0000

Record 6
SrCaY2 | the Alexandria database | PBE | relaxed; distance to the lowest polymorph of the same formula = 130 meV/atom; calculated volume = 154.74 Å³ per cell; ΔE_f = 0.2135 eV per atom; total magnetic moment = 0.0 μB/f.u.; mass density = 3279 kg/m³
1.0
4.1019 0.0000 0.0000
0.0000 4.1019 0.0000
0.0000 0.0000 9.1964
Y Sr Ca
2 1 1
direct
0.0000 0.0000 0.0369
0.0000 0.0000 0.4631
0.5000 0.5000 0.7500
0.5000 0.5000 0.2500